Entry 1:
# K2PmAgF6

A geometry-optimized K2PmAgF6 structure (PBE, the Alexandria database).

## Properties
raw formation energy: -2.93 eV per atom
N(E_F): 0.00 states/eV per cell

Cell: 6.349 6.530 9.186 Å, 90.00 91.89 90.00°
Site moments in Bohr magnetons follow the coordinates.
Atoms (fractional coordinates):
K 0.022 0.950 0.243  0.00
K 0.522 0.550 0.743  0.00
K 0.978 0.050 0.757  0.00
K 0.478 0.450 0.257  0.00
Pm 0.500 0.000 0.000  0.00
Pm 0.000 0.500 0.500  0.00
Ag 0.500 0.000 0.500  0.05
Ag 0.000 0.500 0.000  0.05
F 0.310 0.726 0.073  0.00
F 0.810 0.774 0.573  0.00
F 0.690 0.274 0.927  0.00
F 0.190 0.226 0.427  0.00
F 0.285 0.696 0.451  0.00
F 0.785 0.804 0.951  0.00
F 0.715 0.304 0.549  0.00
F 0.215 0.196 0.049  0.00
F 0.882 0.559 0.268  0.00
F 0.382 0.941 0.768  0.00
F 0.118 0.441 0.732  0.00
F 0.618 0.059 0.232  0.00

***

Entry 2:
# Ca3TcB

A geometry-optimized Ca3TcB structure (PBE, the Alexandria database).

## Properties
offset from the most stable computed form: 43.2 kJ per mole of atoms
N(E_F): 4.97 states/eV per cell
energy relative to the elements: 1322 meV per atom

Cell: 5.317 5.317 5.317 Å, 90.00 90.00 90.00°
Site moments in Bohr magnetons follow the coordinates.
Atoms (fractional coordinates):
Ca 0.000 0.500 0.000  -0.01
Ca 0.000 0.000 0.500  -0.01
Ca 0.500 0.000 0.000  0.01
B 0.500 0.500 0.500  -0.03
Tc 0.000 0.000 0.000  0.51

***

Entry 3:
# Ce5Ga2Co

A geometry-optimized Ce5Ga2Co structure (PBE, the Alexandria database).

## Properties
N(E_F): 17.05 states/eV per cell
energy relative to the elements: -253 meV per atom

Cell: 6.482 8.710 6.217 Å, 132.44 121.42 90.00°
Site moments in Bohr magnetons follow the coordinates.
Atoms (fractional coordinates):
Ce 0.743 0.199 0.957  0.24
Ce 0.214 0.199 0.957  0.24
Ce 0.761 0.830 0.066  0.21
Ce 0.305 0.830 0.066  0.21
Ce 0.598 0.556 0.196  0.40
Ga 0.201 0.704 0.402  -0.01
Ga 0.806 0.341 0.613  0.00
Co 0.149 0.118 0.298  -0.05

***

Entry 4:
# SmScCoAu

A geometry-optimized SmScCoAu structure (PBE, the Alexandria database).

## Properties
N(E_F): 3.18 states/eV per cell
energy relative to the elements: -378 meV per atom

Cell: 4.859 4.859 4.859 Å, 60.00 60.00 60.00°
Site moments in Bohr magnetons follow the coordinates.
Atoms (fractional coordinates):
Sc 0.750 0.750 0.750  -0.14
Co 0.500 0.500 0.500  0.85
Au 0.000 0.000 0.000  -0.01
Sm 0.250 0.250 0.250  -0.07

***

Entry 5:
# Ba3SmDy3Se8

A geometry-optimized Ba3SmDy3Se8 structure (PBE, the Alexandria database).

## Properties
raw formation energy: -1.92 eV per atom
N(E_F): 3.59 states/eV per cell

Cell: 8.457 8.456 8.965 Å, 118.13 90.00 120.01°
Atoms (fractional coordinates):
Ba 0.000 0.000 0.000
Ba 0.000 0.500 0.000
Ba 0.500 0.500 0.000
Sm 0.000 0.000 0.500
Dy 0.500 0.000 0.500
Dy 0.500 0.500 0.500
Dy 0.000 0.500 0.500
Se 0.262 0.525 0.287
Se 0.738 0.475 0.713
Se 0.759 0.517 0.286
Se 0.241 0.483 0.714
Se 0.758 0.028 0.286
Se 0.242 0.972 0.714
Se 0.269 0.028 0.286
Se 0.731 0.972 0.714

***

Entry 6:
# InSiAg4

A geometry-optimized InSiAg4 structure (PBE, the Alexandria database).

## Properties
raw formation energy: 0.30 eV per atom
N(E_F): 4.38 states/eV per cell

Cell: 5.521 5.521 5.521 Å, 60.00 60.00 60.00°
Atoms (fractional coordinates):
In 0.750 0.750 0.750
Si 0.000 0.000 0.000
Ag 0.375 0.875 0.375
Ag 0.875 0.375 0.375
Ag 0.375 0.375 0.875
Ag 0.375 0.375 0.375

***

Entry 7:
# Ba2ZrAg

A geometry-optimized Ba2ZrAg structure (PBE, the Alexandria database).

## Properties
offset from the most stable computed form: 16.6 kJ per mole of atoms
N(E_F): 4.53 states/eV per cell
energy relative to the elements: 399 meV per atom

Cell: 6.082 6.071 3.711 Å, 90.00 90.00 90.00°
Atoms (fractional coordinates):
Ag 0.000 0.500 0.500
Ba 0.000 0.000 0.000
Ba 0.500 0.500 0.000
Zr 0.500 0.000 0.500

***

Entry 8:
# SrHg2Rh

A geometry-optimized SrHg2Rh structure (PBE, the Alexandria database).

## Properties
N(E_F): 1.98 states/eV per cell
energy relative to the elements: -67 meV per atom

Cell: 5.085 5.085 5.085 Å, 60.00 60.00 60.00°
Atoms (fractional coordinates):
Hg 0.000 0.000 0.000
Hg 0.250 0.250 0.250
Rh 0.500 0.500 0.500
Sr 0.750 0.750 0.750

***

Entry 9:
# NaLaC2

A geometry-optimized NaLaC2 structure (PBE, the Alexandria database).

## Properties
offset from the most stable computed form: 34.6 kJ per mole of atoms
N(E_F): 4.57 states/eV per cell
energy relative to the elements: 1535 meV per atom

Cell: 4.337 4.337 8.110 Å, 74.49 74.49 90.00°
Atoms (fractional coordinates):
Na 0.500 0.500 0.000
Na 0.250 0.750 0.500
C 0.530 0.125 0.250
C 0.220 0.625 0.250
C 0.375 0.470 0.750
C 0.875 0.780 0.750
La 0.000 0.000 0.000
La 0.750 0.250 0.500

***

> Number 5 is which compound?

Ba3SmDy3Se8

***

> The lowest N(E_F) belongs to which entry?

K2PmAgF6